1.
First-principles (GGA-PBE) data for PmCoS2 after structural relaxation, as listed in Alexandria via LeMat-Bulk.

abc: 7.986 7.986 7.986
angles: 25.43 25.43 25.43
Positions (direct):
Pm (0.000, 0.000, 0.000)
Co (0.500, 0.500, 0.500)
S (0.119, 0.119, 0.119)
S (0.881, 0.881, 0.881)

Values from the calculation:
As for the symmetry: R-3m, No. 166.

---

2.
First-principles (GGA-PBE) data for TaBePS2 after structural relaxation, as listed in Alexandria via LeMat-Bulk.

abc: 4.236 4.236 4.221
angles: 90.00 90.00 90.00
Positions (direct):
Ta (0.000, 0.000, 0.000)
Be (0.500, 0.500, 0.500)
P (0.500, 0.500, 0.000)
S (0.000, 0.500, 0.500)
S (0.500, 0.000, 0.500)

Values from the calculation:
The value obtained for the relative energy among the computed polymorphs is 100 meV per atom. As for the symmetry: P4/mmm, No. 123.

---

| no. | density (g cm⁻³) | final energy (Ha/atom) | formation energy without anion corrections (kcal/mol of atoms) |
| --- | --- | --- | --- |
| 1 | 5.384 | -0.202 | -10.53 |
| 2 | 6.251 | -0.196 | 12.17 |